{
  "formula": "KY2Mn",
  "functional": "PBE",
  "state": "optimized geometry",
  "lattice_angstrom": [[0.0000, 3.7116, 3.7116], [3.7116, 0.0000, 3.7116], [3.7116, 3.7116, 0.0000]],
  "species": ["K", "Y", "Y", "Mn"],
  "fractional_positions": [[0.0000, 0.0000, 0.0000], [0.2500, 0.2500, 0.2500], [0.7500, 0.7500, 0.7500], [0.5000, 0.5000, 0.5000]],
  "m_tot_mub_per_atom": 0.017,
  "formation_energy_ev_per_fu": 3.83,
  "spacegroup": "Fm-3m",
  "dft_energy_ev_per_atom": -4.841
}